DFT (PBE) results for a geometry-optimized Ir9RhW2 structure.

Unit cell a=3.8957 b=3.8957 c=11.6377 alpha=90.00 beta=90.00 gamma=90.00
Space group P4/mmm (No. 123)
Unique sites:
Ir: 0.0000 0.0000 0.0000
Ir: 0.0000 0.0000 0.3341
Ir: 0.0000 0.5000 0.1694
Ir: 0.0000 0.5000 0.5000
Rh: 0.5000 0.5000 0.0000
W: 0.5000 0.5000 0.3278

Computed properties:
density = 20.7 g/cm3
E_form = -2.51 eV per formula unit

---

DFT (PBE) results for a geometry-optimized Ti2MnAlN structure.

Unit cell a=4.1408 b=4.1408 c=3.8416 alpha=90.00 beta=90.00 gamma=90.00
Space group P4/mmm (No. 123)
Unique sites:
Ti: 0.0000 0.5000 0.0000
Mn: 0.0000 0.0000 0.5000
Al: 0.5000 0.5000 0.5000
N: 0.0000 0.0000 0.0000

Computed properties:
density = 4.8 g/cm3
energy relative to the elements, uncorrected = -0.74 eV per atom

---

DFT (PBE) results for a geometry-optimized TlH6O4 structure.

Unit cell a=5.8173 b=5.8173 c=5.9592 alpha=90.00 beta=90.00 gamma=90.00
Space group I-42m (No. 121)
Unique sites:
Tl: 0.0000 0.0000 0.0000
H: 0.0000 0.5000 0.0000
H: 0.2236 0.2236 0.2832
O: 0.2501 0.2501 0.1215

Computed properties:
total DFT energy (no corrections) = -4.025 eV per atom
density = 4.5 g/cm3

---

DFT (PBE) results for a geometry-optimized LaScZn2Co structure.

Unit cell a=4.8063 b=4.8063 c=4.5030 alpha=90.00 beta=90.00 gamma=90.00
Space group P4/mmm (No. 123)
Unique sites:
La: 0.0000 0.0000 0.0000
Sc: 0.5000 0.5000 0.0000
Zn: 0.0000 0.5000 0.5000
Co: 0.5000 0.5000 0.5000

Computed properties:
density = 6.0 g/cm3
E_form = -0.94 eV per formula unit

---

DFT (PBE) results for a geometry-optimized PmGe2S3 structure.

Unit cell a=7.8141 b=4.0382 c=11.0751 alpha=90.00 beta=92.95 gamma=90.00
Space group P2_1/m (No. 11)
Unique sites:
Pm: 0.0103 0.2500 0.1932
Ge: 0.2167 0.2500 0.5874
Ge: 0.4651 0.7500 0.0571
S: 0.0758 0.7500 0.3591
S: 0.1699 0.7500 0.0449
S: 0.3060 0.7500 0.7185

Computed properties:
density = 3.7 g/cm3
energy relative to the elements, uncorrected = -0.84 eV per atom

---

DFT (PBE) results for a geometry-optimized Tb3SmAl2 structure.

Unit cell a=5.1384 b=9.5956 c=6.5940 alpha=90.00 beta=90.00 gamma=90.00
Space group Pmc2_1 (No. 26)
Unique sites:
Tb: 0.0000 0.0440 0.0000
Tb: 0.0000 0.3212 0.3441
Tb: 0.5000 0.1747 0.7138
Sm: 0.5000 0.4573 0.0592
Al: 0.0000 0.3524 0.8206
Al: 0.5000 0.1453 0.2363

Computed properties:
density = 7.0 g/cm3
E_form = -1.67 eV per formula unit

---

DFT (PBE) results for a geometry-optimized Ac2Tb2Sn structure.

Unit cell a=4.4140 b=4.4140 c=19.7418 alpha=90.00 beta=90.00 gamma=90.00
Space group I4/mmm (No. 139)
Unique sites:
Ac: 0.0000 0.0000 0.0874
Tb: 0.0000 0.5000 0.2500
Sn: 0.0000 0.0000 0.5000

Computed properties:
density = 7.7 g/cm3
E_form = 0.51 eV per formula unit

---

DFT (PBE) results for a geometry-optimized AcVGe2 structure.

Unit cell a=4.3635 b=4.3635 c=16.8518 alpha=90.00 beta=90.00 gamma=120.00
Space group R-3m (No. 166, hexagonal axes)
Unique sites:
Ac: 0.0000 0.0000 0.0000
V: 0.0000 0.0000 0.5000
Ge: 0.0000 0.0000 0.2147

Computed properties:
density = 7.6 g/cm3
E_form = -1.27 eV per formula unit

---

DFT (PBE) results for a geometry-optimized Li3LaAu4 structure.

Unit cell a=4.5374 b=4.5374 c=25.8625 alpha=90.00 beta=90.00 gamma=120.00
Space group R-3m (No. 166, hexagonal axes)
Unique sites:
Li: 0.0000 0.0000 0.0000
Li: 0.0000 0.0000 0.2663
La: 0.0000 0.0000 0.5000
Au: 0.0000 0.0000 0.1007
Au: 0.0000 0.0000 0.3721

Computed properties:
density = 10.2 g/cm3
E_form = -5.07 eV per formula unit

---

DFT (PBE) results for a geometry-optimized TbPrNd2Sm structure.

Unit cell a=8.3465 b=6.7555 c=6.2992 alpha=90.00 beta=91.08 gamma=90.00
Space group P2/c (No. 13)
Unique sites:
Tb: 0.0000 0.1595 0.2500
Pr: 0.5000 0.0000 0.0000
Nd: 0.1930 0.3075 0.7565
Sm: 0.5000 0.4262 0.2500

Computed properties:
density = 6.9 g/cm3
E_form = 1.30 eV per formula unit

---

DFT (PBE) results for a geometry-optimized CeGdOs structure.

Unit cell a=6.8209 b=6.8209 c=6.8209 alpha=90.00 beta=90.00 gamma=90.00
Space group F-43m (No. 216)
Unique sites:
Ce: 0.0000 0.0000 0.0000
Gd: 0.0000 0.0000 0.5000
Os: 0.2500 0.2500 0.2500

Computed properties:
density = 10.2 g/cm3
E_form = -0.32 eV per formula unit

---

DFT (PBE) results for a geometry-optimized K3HfCl structure.

Unit cell a=6.8209 b=6.8209 c=6.8209 alpha=90.00 beta=90.00 gamma=90.00
Space group Pm-3m (No. 221)
Unique sites:
K: 0.0000 0.0000 0.5000
Hf: 0.0000 0.0000 0.0000
Cl: 0.5000 0.5000 0.5000

Computed properties:
density = 1.7 g/cm3
energy relative to the elements, uncorrected = 0.73 eV per atom